1.
InNi2Cl (meta-GGA SCAN, PBEsol geometry); E_form (uncorrected) = 0.353 eV per atom; electronic total energy = -72.3 eV/cell
1.0
-1.777 1.777 4.749
1.777 -1.777 4.749
1.777 1.777 -4.749
In Ni Cl
1 2 1
direct
0.000 0.000 0.000 In
0.500 0.500 0.000 Ni
0.750 0.250 0.500 Ni
0.250 0.750 0.500 Cl


2.
InNiCl (meta-GGA SCAN, PBEsol geometry); E_form (uncorrected) = -0.214 eV per atom; electronic total energy = -58.2 eV/cell
1.0
3.437 0.000 0.000
-1.719 2.977 0.000
0.000 0.000 5.279
In Ni Cl
1 1 1
direct
0.000 0.000 0.000 In
0.333 0.667 0.708 Ni
0.667 0.333 0.448 Cl


3.
InNiP2Cl (meta-GGA SCAN, PBEsol geometry); E_form (uncorrected) = 0.280 eV per atom; electronic total energy = -76.9 eV/cell
1.0
4.358 0.000 0.000
0.000 4.358 0.000
0.000 0.000 4.892
In Ni P Cl
1 1 2 1
direct
0.000 0.000 0.000 In
0.500 0.500 0.500 Ni
0.000 0.500 0.500 P
0.500 0.000 0.500 P
0.500 0.500 0.000 Cl


4.
InNiSCl2 (meta-GGA SCAN, PBEsol geometry); E_form (uncorrected) = -0.392 eV per atom; electronic total energy = -77.1 eV/cell
1.0
4.462 0.000 0.000
0.000 4.462 0.000
0.000 0.000 4.749
In Ni S Cl
1 1 1 2
direct
0.000 0.000 0.000 In
0.500 0.500 0.500 Ni
0.500 0.500 0.000 S
0.000 0.500 0.500 Cl
0.500 0.000 0.500 Cl


Question: Look up the electronic total energy of the fourth one.
Answer: -77.1 eV/cell